The following is a PBE calculation of SbPdSe3 after structural relaxation, from the Alexandria database.

Output
Electronic total energy ... -4.18 eV/atom
ΔE_f (raw) ... -22 kJ per mole of atoms

Cell lengths 6.7095, 3.8904, 9.4419 Å; angles 90.00, 92.64, 90.00 degrees
Space group P2_1/m (No. 11)
Symmetry-distinct sites (fractional):
Sb 0.0783 0.2500 0.3118
Pd 0.4278 0.2500 0.6799
Se 0.1238 0.2500 0.8390
Se 0.2993 0.7500 0.5091
Se 0.4103 0.2500 0.1722

***

The following is a PBE calculation of CaZr2Tc after structural relaxation, from the Alexandria database.

Output
Formation energy from the elements ... 161 meV per atom
Electronic total energy ... -7.21 eV/atom

Cell lengths 3.3556, 3.3556, 29.7144 Å; angles 90.00, 90.00, 120.00 degrees
Space group R-3m (No. 166, hexagonal axes)
Symmetry-distinct sites (fractional):
Ca 0.0000 0.0000 0.0000
Zr 0.0000 0.0000 0.2308
Tc 0.0000 0.0000 0.5000

***

The following is a PBE calculation of Be2InP after structural relaxation, from the Alexandria database.

Output
Formation energy from the elements ... 400 meV per atom
Electronic total energy ... -3.50 eV/atom

Cell lengths 2.7688, 3.3863, 6.7176 Å; angles 90.00, 91.84, 90.00 degrees
Space group P2/m (No. 10)
Symmetry-distinct sites (fractional):
Be 0.0129 0.0000 0.3036
In 0.5000 0.5000 0.0000
P 0.0000 0.5000 0.5000

***

The following is a PBE calculation of NaMnPt after structural relaxation, from the Alexandria database.

Output
Formation energy from the elements ... 613 meV per atom
Electronic total energy ... -4.90 eV/atom

Cell lengths 3.9873, 3.9873, 4.5773 Å; angles 90.00, 90.00, 120.00 degrees
Space group P-6m2 (No. 187)
Symmetry-distinct sites (fractional):
Na 0.0000 0.0000 0.0000
Mn 0.3333 0.6667 0.5000
Pt 0.6667 0.3333 0.5000